Compound: Rb4SmBr7
Source: Alexandria via LeMat-Bulk
Functional: GGA-PBE
Structure: relaxed

Cell: 5.730 9.144 12.946 Å, 61.33 77.21 71.74°
Last column: magnetic moment on the atom in μB.
Positions (direct):
Rb 0.513 0.677 0.297  0.00
Rb 0.487 0.323 0.703  0.00
Rb 0.756 0.819 0.669  0.00
Rb 0.244 0.181 0.331  0.00
Sm 0.000 0.000 0.000  0.00
Br 0.888 0.364 0.861  0.00
Br 0.112 0.636 0.139  0.00
Br 0.120 0.979 0.781  0.01
Br 0.880 0.021 0.219  0.01
Br 0.355 0.752 0.538  0.05
Br 0.500 0.000 0.000  0.00
Br 0.645 0.248 0.462  0.05

Calculated values
Volume ... 46.9 Å³/atom
Raw formation energy ... -172 kJ per mole of atoms
Total energy ... -3.4717 eV/atom

=====

Compound: RbSm2Br8
Source: Alexandria via LeMat-Bulk
Functional: GGA-PBE
Structure: relaxed

Cell: 8.655 7.529 7.529 Å, 73.67 80.92 80.92°
Last column: magnetic moment on the atom in μB.
Positions (direct):
Rb 0.000 0.000 0.000  0.00
Sm 0.462 0.323 0.323  -0.01
Sm 0.538 0.677 0.677  -0.01
Br 0.342 0.664 0.042  0.10
Br 0.658 0.958 0.336  0.10
Br 0.183 0.232 0.232  0.22
Br 0.817 0.768 0.768  0.22
Br 0.342 0.042 0.664  0.10
Br 0.658 0.336 0.958  0.10
Br 0.717 0.443 0.443  0.00
Br 0.283 0.557 0.557  0.00

Calculated values
Volume ... 42.0 Å³/atom
Raw formation energy ... -155 kJ per mole of atoms
Total energy ... -3.7741 eV/atom
Offset from the most stable computed form ... 49.3 meV per atom

=====

Compound: Rb3Sm2Br9
Source: Alexandria via LeMat-Bulk
Functional: GGA-PBE
Structure: relaxed

Cell: 10.355 10.355 10.355 Å, 84.54 84.54 84.54°
Positions (direct):
Rb 0.427 0.750 0.073
Rb 0.250 0.927 0.573
Rb 0.927 0.573 0.250
Rb 0.073 0.427 0.750
Rb 0.750 0.073 0.427
Rb 0.573 0.250 0.927
Sm 0.147 0.147 0.147
Sm 0.647 0.647 0.647
Sm 0.853 0.853 0.853
Sm 0.353 0.353 0.353
Br 0.726 0.930 0.086
Br 0.070 0.914 0.274
Br 0.250 0.407 0.093
Br 0.570 0.774 0.414
Br 0.593 0.907 0.750
Br 0.907 0.750 0.593
Br 0.226 0.586 0.430
Br 0.586 0.430 0.226
Br 0.914 0.274 0.070
Br 0.086 0.726 0.930
Br 0.414 0.570 0.774
Br 0.407 0.093 0.250
Br 0.774 0.414 0.570
Br 0.093 0.250 0.407
Br 0.430 0.226 0.586
Br 0.750 0.593 0.907
Br 0.930 0.086 0.726
Br 0.274 0.070 0.914

Calculated values
Volume ... 39.1 Å³/atom
Raw formation energy ... -177 kJ per mole of atoms
Total energy ... -3.7899 eV/atom

=====

Compound: RbSm2Br6
Source: Alexandria via LeMat-Bulk
Functional: GGA-PBE
Structure: relaxed

Cell: 8.077 7.330 7.330 Å, 120.00 90.00 90.00°
Last column: magnetic moment on the atom in μB.
Positions (direct):
Rb 0.000 0.000 0.000  0.00
Sm 0.500 0.667 0.333  0.28
Sm 0.500 0.333 0.667  0.28
Br 0.713 0.641 0.641  0.00
Br 0.287 0.641 0.000  0.00
Br 0.287 0.000 0.641  0.00
Br 0.713 0.359 0.000  0.00
Br 0.287 0.359 0.359  0.00
Br 0.713 0.000 0.359  0.00

Calculated values
Volume ... 41.8 Å³/atom
Raw formation energy ... -169 kJ per mole of atoms
Total energy ... -4.0254 eV/atom